A relaxed KAgAuSe crystal. Source: Alexandria via LeMat-Bulk, functional PBE.

Calculated values
**Total DFT energy (no corrections)**: -3.051 eV per atom
**E_form (uncorrected)**: -1.49 eV per formula unit
**ρ**: 6.7 g/cm3

```
KAgAuSe
1.0
4.0651 0.0000 0.0000
0.0000 4.0651 0.0000
0.0000 0.0000 12.7238
K Ag Au Se
2 2 2 2
Direct
0.7500 0.7500 0.2683 K
0.2500 0.2500 0.7317 K
0.7500 0.2500 0.0000 Ag
0.2500 0.7500 0.0000 Ag
0.2500 0.7500 0.5000 Au
0.7500 0.2500 0.5000 Au
0.7500 0.7500 0.8558 Se
0.2500 0.2500 0.1442 Se
```

A relaxed Ac3TlGa4 crystal. Source: Alexandria via LeMat-Bulk, functional PBE.

Calculated values
**Total DFT energy (no corrections)**: -3.658 eV per atom
**Energy relative to the elements**: -2.47 eV/f.u.
**ρ**: 7.7 g/cm3

```
Ac3TlGa4
1.0
-3.2292 -3.3572 1.0110
1.4199 -3.0295 -5.5248
6.6270 -1.1506 6.1095
Ac Tl Ga
3 1 4
Direct
0.1937 0.1937 0.3874 Ac
0.8063 0.8063 0.6126 Ac
0.0000 0.5000 0.0000 Ac
0.5000 0.0000 0.0000 Tl
0.3759 0.5731 0.7518 Ga
0.6241 0.4269 0.2482 Ga
0.6241 0.8213 0.2482 Ga
0.3759 0.1787 0.7518 Ga
```